(1)
Here is an optimized crystal structure of Ca3Hf3TiAs8 from the Alexandria database. Energies are from PBE-GGA.

Values from the calculation:
space-group type	C2/m (12)
V	23.89	A^3/atom
E	-6.3231	eV per atom
density	6.0	g/cm3

Unit cell a=7.746 b=7.746 c=8.209 alpha=118.05 beta=118.05 gamma=60.07
Fractional positions:
Ca: 0.000 0.000 0.000
Ca: 0.000 0.500 0.000
Ca: 0.500 0.000 0.000
Hf: 0.000 0.500 0.500
Hf: 0.500 0.000 0.500
Hf: 0.500 0.500 0.500
Ti: 0.000 0.000 0.500
As: 0.237 0.237 0.717
As: 0.237 0.743 0.717
As: 0.257 0.763 0.283
As: 0.258 0.258 0.274
As: 0.742 0.742 0.726
As: 0.743 0.237 0.717
As: 0.763 0.257 0.283
As: 0.763 0.763 0.283

(2)
Here is an optimized crystal structure of PmScHgBi from the Alexandria database. Energies are from PBE-GGA.

Values from the calculation:
space-group type	F-43m (216)
V	26.58	A^3/atom
E	-4.2662	eV per atom
density	9.4	g/cm3

Unit cell a=5.318 b=5.318 c=5.318 alpha=60.00 beta=60.00 gamma=60.00
Fractional positions:
Pm: 0.000 0.000 0.000
Sc: 0.500 0.500 0.500
Hg: 0.750 0.750 0.750
Bi: 0.250 0.250 0.250